# 1
The following is a PBE calculation of Ba2NaLa after structural relaxation, from Alexandria.

Cell lengths 6.733, 6.733, 4.257 Å; angles 90.00, 90.00, 90.00 degrees
Space group P4/mmm (No. 123)
One atom of each set of equivalent atoms:
1 Ba 0.000 0.500 0.000
2 Na 0.000 0.000 0.500
3 La 0.500 0.500 0.500

Calculated values
Crystal system ... tetragonal
DOS at the Fermi energy ... 5.34 states/eV/cell
Formation energy from the elements ... 0.160 eV/atom
Offset from the most stable computed form ... 37.8 meV/atom
Uncorrected energy ... -9.5 eV per formula unit

---

# 2
The following is a PBE calculation of Ac2Tb5Y4 after structural relaxation, from Alexandria.

Cell lengths 24.213, 3.661, 9.414 Å; angles 90.00, 112.20, 90.00 degrees
Space group C2/m (No. 12)
One atom of each set of equivalent atoms:
1 Ac 0.111 0.000 0.421
2 Tb 0.000 0.500 0.000
3 Tb 0.134 0.000 0.071
4 Tb 0.234 0.500 0.339
5 Y 0.047 0.000 0.713
6 Y 0.186 0.500 0.839

Calculated values
Crystal system ... monoclinic
DOS at the Fermi energy ... 32.01 states/eV/cell
Formation energy from the elements ... 0.141 eV/atom
Uncorrected energy ... -55.7 eV per formula unit

---

> The highest formation energy from the elements belongs to which entry?

Ba2NaLa

---

Copy entry 2 word for word.
The following is a PBE calculation of Ac2Tb5Y4 after structural relaxation, from Alexandria.

Cell lengths 24.213, 3.661, 9.414 Å; angles 90.00, 112.20, 90.00 degrees
Space group C2/m (No. 12)
One atom of each set of equivalent atoms:
1 Ac 0.111 0.000 0.421
2 Tb 0.000 0.500 0.000
3 Tb 0.134 0.000 0.071
4 Tb 0.234 0.500 0.339
5 Y 0.047 0.000 0.713
6 Y 0.186 0.500 0.839

Calculated values
Crystal system ... monoclinic
DOS at the Fermi energy ... 32.01 states/eV/cell
Formation energy from the elements ... 0.141 eV/atom
Uncorrected energy ... -55.7 eV per formula unit

---

> Among the records above, which one has the lowest formation energy from the elements?

Ac2Tb5Y4

---

> What is the uncorrected energy in the first record?

-9.5 eV per formula unit